Computed, not measured: Dy4Er3Cu2Te2 after structural relaxation at the GGA-PBE level of DFT.

* total magnetic moment: 0.050 μB/f.u.
* space group: No. 44
* total energy: -4.738 eV/atom

a = 9.3231 Å, b = 9.3231 Å, c = 9.3231 Å
α = 155.60°, β = 67.37°, γ = 118.31°
Closest atoms and distances in Å follow each position.
Atoms (fractional coordinates):
Dy: 0.1292 0.0000 0.1292  2 Cu 2.87, 3 Te 3.10-3.17
Dy: 0.5082 0.1517 0.3565  2 Cu 2.90, 2 Te 3.12
Dy: 0.7952 0.1517 0.6435  2 Cu 2.90, 2 Te 3.12
Dy: 0.8708 0.0000 0.8708  2 Cu 2.87, 3 Te 3.10-3.17
Er: 0.1102 0.7952 0.3150  2 Cu 2.82
Er: 0.4151 0.4151 0.0000  3 Te 3.19-3.22
Er: 0.4802 0.7952 0.6850  2 Cu 2.82
Cu: 0.2521 0.4887 0.7634  2 Er 2.82, 4 Dy 2.87-2.90
Cu: 0.7253 0.4887 0.2366  2 Er 2.82, 4 Dy 2.87-2.90
Te: 0.1530 0.6530 0.5000  4 Dy 3.17, 4 Er 3.18-3.19
Te: 0.7521 0.7521 0.0000  6 Dy 3.10-3.12, 1 Er 3.22